[1]
Li2ScFe: relaxed, PBE.

Results
* calculated formation energy: 268 meV per atom
* space group: Cm (8)
* density: 2.754 Mg/m³
* N(E_F): 2.789 states/eV/cell

Cell: 4.8818 4.8818 5.6770 Å, 113.37 113.37 34.18°
With the nearest neighbours (Å) after each atom.
Atoms (fractional coordinates):
Li 0.0000 0.0000 0.0000  5 Li 2.57-2.87, 2 Fe 2.66
Li 0.2217 0.2217 0.8441  5 Li 2.57-2.87, 2 Fe 2.66
Sc 0.8249 0.8249 0.4116  3 Fe 2.54-2.57
Fe 0.5562 0.5562 0.4234  3 Sc 2.54-2.57, 4 Li 2.66

---

[2]
Rb2PmSbS4: relaxed, PBE.

Results
* space group: Imma (74)
* ΔE_f (raw): -1.206 eV per atom
* density: 4.131 Mg/m³

Cell: 8.6327 8.6327 8.6327 Å, 120.02 119.97 90.01°
With the nearest neighbours (Å) after each atom.
Atoms (fractional coordinates):
Rb 0.0000 0.0000 0.0000  6 S 3.27
Rb 0.5000 0.0000 0.0000  6 S 3.28-3.30
Rb 0.5000 0.0000 0.5000  6 S 3.27
Rb 0.5000 0.5000 0.5000  6 S 3.28-3.30
Pm 0.0000 0.5000 0.5000  6 S 2.87
Pm 0.5000 0.5000 0.0000  6 S 2.87
Sb 0.0000 0.0000 0.5000  6 S 2.83-2.85
Sb 0.0000 0.5000 0.0000  6 S 2.83-2.85
S 0.1984 0.7336 0.4648  2 Sb 2.85, 1 Pm 2.87
S 0.2310 0.2641 0.5331  1 Sb 2.83, 2 Pm 2.87
S 0.2312 0.2664 0.9648  2 Sb 2.85, 1 Pm 2.87
S 0.2310 0.6979 0.9669  1 Sb 2.83, 2 Pm 2.87
S 0.7690 0.3021 0.0331  1 Sb 2.83, 2 Pm 2.87
S 0.7688 0.7336 0.0352  2 Sb 2.85, 1 Pm 2.87
S 0.7690 0.7359 0.4669  1 Sb 2.83, 2 Pm 2.87
S 0.8016 0.2664 0.5352  2 Sb 2.85, 1 Pm 2.87

---

[3]
Pm2ThS5: relaxed, PBE.

Results
* space group: Pnma (62)
* ΔE_f (raw): -2.049 eV per atom
* density: 6.065 Mg/m³

Cell: 12.0613 8.1984 7.5571 Å, 90.00 90.00 90.00°
With the nearest neighbours (Å) after each atom.
Atoms (fractional coordinates):
Pm 0.1790 0.0012 0.0146  8 S 2.86-3.12
Pm 0.1790 0.4988 0.0146  8 S 2.86-3.12
Pm 0.3210 0.5012 0.5146  8 S 2.86-3.12
Pm 0.3210 0.9988 0.5146  8 S 2.86-3.12
Pm 0.6790 0.0012 0.4854  8 S 2.86-3.12
Pm 0.6790 0.4988 0.4854  8 S 2.86-3.12
Pm 0.8210 0.5012 0.9854  8 S 2.86-3.12
Pm 0.8210 0.9988 0.9854  8 S 2.86-3.12
Th 0.0091 0.7500 0.5773  7 S 2.73-2.89
Th 0.4909 0.2500 0.0773  7 S 2.73-2.89
Th 0.5091 0.7500 0.9227  7 S 2.73-2.89
Th 0.9909 0.2500 0.4227  7 S 2.73-2.89
S 0.0009 0.7500 0.9599  1 Th 2.89, 4 Pm 2.98-3.00
S 0.1025 0.0435 0.6599  2 Th 2.73-2.81, 2 Pm 2.86-2.88
S 0.1025 0.4565 0.6599  2 Th 2.73-2.81, 2 Pm 2.86-2.88
S 0.1859 0.7500 0.3254  1 Th 2.86, 4 Pm 2.98-3.12
S 0.2173 0.2500 0.2961  1 Th 2.89, 4 Pm 2.92-2.98
S 0.2827 0.7500 0.7961  1 Th 2.89, 4 Pm 2.92-2.98
S 0.3141 0.2500 0.8254  1 Th 2.86, 4 Pm 2.98-3.12
S 0.3975 0.5435 0.1599  2 Th 2.73-2.81, 2 Pm 2.86-2.88
S 0.3975 0.9565 0.1599  2 Th 2.73-2.81, 2 Pm 2.86-2.88
S 0.4991 0.2500 0.4599  1 Th 2.89, 4 Pm 2.98-3.00
S 0.5009 0.7500 0.5401  1 Th 2.89, 4 Pm 2.98-3.00
S 0.6025 0.0435 0.8401  2 Th 2.73-2.81, 2 Pm 2.86-2.88
S 0.6025 0.4565 0.8401  2 Th 2.73-2.81, 2 Pm 2.86-2.88
S 0.6859 0.7500 0.1746  1 Th 2.86, 4 Pm 2.98-3.12
S 0.7173 0.2500 0.2039  1 Th 2.89, 4 Pm 2.92-2.98
S 0.7827 0.7500 0.7039  1 Th 2.89, 4 Pm 2.92-2.98
S 0.8141 0.2500 0.6746  1 Th 2.86, 4 Pm 2.98-3.12
S 0.8975 0.5435 0.3401  2 Th 2.73-2.81, 2 Pm 2.86-2.88
S 0.8975 0.9565 0.3401  2 Th 2.73-2.81, 2 Pm 2.86-2.88
S 0.9991 0.2500 0.0401  1 Th 2.89, 4 Pm 2.98-3.00